Record 1
This record from Alexandria describes a relaxed InGaCo2Sb crystal. The functional is PBE.

Properties
Symmetry   P4/mmm (123)
Energy relative to the elements, uncorrected   1.15 eV per atom

Geometry as POSCAR:
```
InGaCo2Sb
1.0
4.8191 0.0000 0.0000
0.0000 5.0315 0.0000
0.0000 0.0000 4.8191
Sb Co Ga In
1 2 1 1
Direct
0.5000 0.5000 0.5000
0.0000 0.0000 0.5000
0.5000 0.0000 0.0000
0.0000 0.5000 0.0000
0.0000 0.0000 0.0000
```

=====

Record 2
This record from Alexandria describes a relaxed SrIn2GaCo crystal. The functional is PBE.

Properties
Symmetry   P4/mmm (123)
DFT formation energy   -0.226 eV per atom

Geometry as POSCAR:
```
SrIn2GaCo
1.0
5.0009 0.0000 0.0000
0.0000 5.0009 0.0000
0.0000 0.0000 4.7085
Sr Co Ga In
1 1 1 2
Direct
0.5000 0.5000 0.5000
0.0000 0.0000 0.0000
0.0000 0.0000 0.5000
0.0000 0.5000 0.0000
0.5000 0.0000 0.0000
```